# 1
Density functional theory data (PBE) for crystalline Na2NpTe3 at its relaxed geometry.

Cell lengths 7.5459, 7.5459, 11.7053 Å; angles 90.00, 90.00, 144.64 degrees
With the nearest neighbours (Å) after each atom.
Element x y z (fractional)
Na (0.4696, 0.5304, 0.2500)  4 Te 2.89-2.91
Na (0.2506, 0.7494, 0.7500)  2 Te 3.22
Na (0.7494, 0.2506, 0.2500)  2 Te 3.22
Na (0.5304, 0.4696, 0.7500)  4 Te 2.89-2.91
Te (0.9076, 0.0924, 0.7500)  4 Na 2.89-3.22, 2 Np 3.21
Te (0.3608, 0.6392, 0.4594)  1 Na 2.91, 2 Np 3.08
Te (0.6392, 0.3608, 0.5406)  1 Na 2.91, 2 Np 3.08
Te (0.0924, 0.9076, 0.2500)  4 Na 2.89-3.22, 2 Np 3.21
Te (0.3608, 0.6392, 0.0406)  1 Na 2.91, 2 Np 3.08
Te (0.6392, 0.3608, 0.9594)  1 Na 2.91, 2 Np 3.08
Np (0.0000, 0.0000, 0.0000)  6 Te 3.08-3.21
Np (0.0000, 0.0000, 0.5000)  6 Te 3.08-3.21

Calculated values
V (Å³/atom): 32.15
Symmetry: Cmcm, No. 63
ΔE to the lowest computed polymorph (eV/atom): 0.152

---

# 2
Density functional theory data (PBE) for crystalline NaTmNp at its relaxed geometry.

Cell lengths 5.2054, 5.2054, 5.2054 Å; angles 60.00, 60.00, 60.00 degrees
With the nearest neighbours (Å) after each atom.
Element x y z (fractional)
Na (0.0000, 0.0000, 0.0000)  4 Tm 3.19, 4 Np 3.19
Np (0.2500, 0.2500, 0.2500)  4 Na 3.19
Tm (0.7500, 0.7500, 0.7500)  4 Na 3.19

Calculated values
V (Å³/atom): 33.25
Symmetry: F-43m, No. 216
ΔE to the lowest computed polymorph (eV/atom): 0.000

---

# 3
Density functional theory data (PBE) for crystalline NaNpU at its relaxed geometry.

Cell lengths 4.7185, 4.7185, 4.7185 Å; angles 60.00, 60.00, 60.00 degrees
With the nearest neighbours (Å) after each atom.
Element x y z (fractional)
Na (0.2500, 0.2500, 0.2500)  4 Np 2.89
U (0.7500, 0.7500, 0.7500)  4 Np 2.89
Np (0.0000, 0.0000, 0.0000)  4 Na 2.89, 4 U 2.89

Calculated values
V (Å³/atom): 24.76
Symmetry: F-43m, No. 216
ΔE to the lowest computed polymorph (eV/atom): 0.000

---

# 4
Density functional theory data (PBE) for crystalline NaYNp at its relaxed geometry.

Cell lengths 5.2302, 5.2302, 5.2302 Å; angles 60.00, 60.00, 60.00 degrees
With the nearest neighbours (Å) after each atom.
Element x y z (fractional)
Y (0.7500, 0.7500, 0.7500)  4 Na 3.20
Np (0.2500, 0.2500, 0.2500)  4 Na 3.20
Na (0.0000, 0.0000, 0.0000)  4 Np 3.20, 4 Y 3.20

Calculated values
V (Å³/atom): 33.72
Symmetry: F-43m, No. 216
ΔE to the lowest computed polymorph (eV/atom): 0.000

---

# 5
Density functional theory data (PBE) for crystalline NaOsO3 at its relaxed geometry.

Cell lengths 5.3115, 5.3891, 7.5572 Å; angles 90.00, 90.00, 90.00 degrees
With the nearest neighbours (Å) after each atom.
Element x y z (fractional)
O (0.7938, 0.7922, 0.0440)  2 Os 1.95
O (0.2938, 0.7078, 0.9560)  2 Os 1.95
O (0.7062, 0.2922, 0.4560)  2 Os 1.95
O (0.9103, 0.5096, 0.7500)  2 Os 1.95
O (0.2062, 0.2078, 0.9560)  2 Os 1.95
O (0.7938, 0.7922, 0.4560)  2 Os 1.95
O (0.2938, 0.7078, 0.5440)  2 Os 1.95
O (0.7062, 0.2922, 0.0440)  2 Os 1.95
O (0.4103, 0.9904, 0.2500)  2 Os 1.95
O (0.2062, 0.2078, 0.5440)  2 Os 1.95
O (0.0897, 0.4904, 0.2500)  2 Os 1.95
O (0.5897, 0.0096, 0.7500)  2 Os 1.95
Na (0.4886, 0.4600, 0.7500)  4 O 2.26-2.49
Na (0.5114, 0.5400, 0.2500)  4 O 2.26-2.49
Na (0.9886, 0.0400, 0.2500)  4 O 2.26-2.49
Na (0.0114, 0.9600, 0.7500)  4 O 2.26-2.49
Os (0.5000, 0.0000, 0.5000)  6 O 1.95
Os (0.0000, 0.5000, 0.5000)  6 O 1.95
Os (0.5000, 0.0000, 0.0000)  6 O 1.95
Os (0.0000, 0.5000, 0.0000)  6 O 1.95

Calculated values
V (Å³/atom): 10.82
Symmetry: Pnma, No. 62
Total energy (eV per cell): -134.0

---

# 6
Density functional theory data (PBE) for crystalline NaOsO3 at its relaxed geometry.

Cell lengths 3.8352, 3.8352, 3.8584 Å; angles 90.00, 90.00, 90.00 degrees
With the nearest neighbours (Å) after each atom.
Element x y z (fractional)
O (0.5000, 0.5000, 0.0807)  2 Os 1.93
O (0.5000, 0.0000, 0.5816)  2 Os 1.92
O (0.0000, 0.5000, 0.5816)  2 Os 1.92
Os (0.5000, 0.5000, 0.5804)  6 O 1.92-1.93
Na (0.0000, 0.0000, 0.0758)  12 O 2.70-2.74

Calculated values
V (Å³/atom): 11.35
Symmetry: P4mm, No. 99
Total energy (eV per cell): -33.4

---

# 7
Density functional theory data (PBE) for crystalline NaOsO3 at its relaxed geometry.

Cell lengths 5.3577, 5.3577, 5.8779 Å; angles 62.89, 62.89, 60.00 degrees
With the nearest neighbours (Å) after each atom.
Element x y z (fractional)
O (0.0428, 0.4375, 0.7082)  2 Os 1.96-1.97
O (0.4375, 0.8115, 0.7082)  2 Os 1.96-1.97
O (0.5625, 0.1885, 0.2918)  2 Os 1.96-1.97
O (0.1885, 0.9572, 0.2918)  2 Os 1.96-1.97
O (0.8115, 0.0428, 0.7082)  2 Os 1.96-1.97
O (0.9572, 0.5625, 0.2918)  2 Os 1.96-1.97
Na (0.6360, 0.6360, 0.0921)  6 O 2.29-2.52
Na (0.3640, 0.3640, 0.9079)  6 O 2.29-2.52
Os (0.8367, 0.8367, 0.4899)  6 O 1.96-1.97
Os (0.1633, 0.1633, 0.5101)  6 O 1.96-1.97

Calculated values
V (Å³/atom): 12.42
Symmetry: R-3, No. 148
Total energy (eV per cell): -67.0

---

# 8
Density functional theory data (PBE) for crystalline NaOsO3 at its relaxed geometry.

Cell lengths 5.7012, 5.2426, 8.3639 Å; angles 90.00, 90.00, 90.00 degrees
With the nearest neighbours (Å) after each atom.
Element x y z (fractional)
O (0.6609, 0.1754, 0.7500)  2 Os 1.96-2.00
O (0.8544, 0.8717, 0.0846)  1 Os 1.77
O (0.1456, 0.1283, 0.9154)  1 Os 1.77
O (0.8391, 0.6754, 0.7500)  2 Os 1.96-2.00
O (0.3544, 0.6283, 0.5846)  1 Os 1.77
O (0.8544, 0.8717, 0.4154)  1 Os 1.77
O (0.1456, 0.1283, 0.5846)  1 Os 1.77
O (0.3544, 0.6283, 0.9154)  1 Os 1.77
O (0.6456, 0.3717, 0.4154)  1 Os 1.77
O (0.6456, 0.3717, 0.0846)  1 Os 1.77
O (0.1609, 0.3246, 0.2500)  2 Os 1.96-2.00
O (0.3391, 0.8246, 0.2500)  2 Os 1.96-2.00
Na (0.0000, 0.5000, 0.5000)  6 O 2.23-2.46
Na (0.5000, 0.0000, 0.0000)  6 O 2.23-2.46
Na (0.5000, 0.0000, 0.5000)  6 O 2.23-2.46
Na (0.0000, 0.5000, 0.0000)  6 O 2.23-2.46
Os (0.9762, 0.0273, 0.7500)  3 O 1.77-1.96
Os (0.4762, 0.4727, 0.2500)  3 O 1.77-1.96
Os (0.0238, 0.9727, 0.2500)  3 O 1.77-1.96
Os (0.5238, 0.5273, 0.7500)  3 O 1.77-1.96

Calculated values
V (Å³/atom): 12.50
Symmetry: Pnma, No. 62
Total energy (eV per cell): -128.1

---

# 9
Density functional theory data (PBE) for crystalline NaOsO3 at its relaxed geometry.

Cell lengths 5.8301, 5.8301, 5.8301 Å; angles 59.83, 59.83, 59.83 degrees
With the nearest neighbours (Å) after each atom.
Element x y z (fractional)
Os (0.2500, 0.2500, 0.2500)  3 O 1.76
Os (0.7500, 0.7500, 0.7500)  3 O 1.76
O (0.5520, 0.9480, 0.2500)  1 Os 1.76
O (0.2500, 0.5520, 0.9480)  1 Os 1.76
O (0.7500, 0.4480, 0.0520)  1 Os 1.76
O (0.4480, 0.0520, 0.7500)  1 Os 1.76
O (0.0520, 0.7500, 0.4480)  1 Os 1.76
O (0.9480, 0.2500, 0.5520)  1 Os 1.76
Na (0.5000, 0.5000, 0.5000)  6 O 2.36
Na (0.0000, 0.0000, 0.0000)  6 O 2.36

Calculated values
V (Å³/atom): 13.96
Symmetry: R-3c, No. 167
Total energy (eV per cell): -64.9

---

# 10
Density functional theory data (PBE) for crystalline NaOsO3 at its relaxed geometry.

Cell lengths 5.3250, 5.3250, 5.3250 Å; angles 60.50, 60.50, 60.50 degrees
With the nearest neighbours (Å) after each atom.
Element x y z (fractional)
Os (0.0000, 0.0000, 0.0000)  6 O 1.94
Os (0.5000, 0.5000, 0.5000)  6 O 1.94
O (0.6681, 0.8319, 0.2500)  2 Os 1.94
O (0.7500, 0.3319, 0.1681)  2 Os 1.94
O (0.2500, 0.6681, 0.8319)  2 Os 1.94
O (0.3319, 0.1681, 0.7500)  2 Os 1.94
O (0.1681, 0.7500, 0.3319)  2 Os 1.94
O (0.8319, 0.2500, 0.6681)  2 Os 1.94
Na (0.2500, 0.2500, 0.2500)  3 O 2.24
Na (0.7500, 0.7500, 0.7500)  3 O 2.24

Calculated values
V (Å³/atom): 10.80
Symmetry: R-3c, No. 167
Total energy (eV per cell): -66.9